No. 1
Material: NaAu2I2
Method: DFT, PBE
State: relaxed

**Magnetic moment**: 0.00 μB per formula unit
**Density of states at the Fermi level**: 1.36 states/eV/cell
**Polymorph energy (0 for the lowest one)**: 0.0 meV/atom
**E_form (uncorrected)**: -4.81 kcal/mol of atoms
**E**: -2.40 eV/atom
**Density**: 8.01 g/cm3

Cell: 9.177 9.177 9.177 Å, 154.88 154.88 35.82°
Fractional coordinates of all 5 atoms:
Na  0.000  0.000  0.000
Au  0.250  0.750  0.500
Au  0.750  0.250  0.500
I  0.401  0.401  0.000
I  0.599  0.599  0.000

No. 2
Material: BaSrPtPbCl
Method: DFT, PBE
State: relaxed

**Magnetic moment**: 0.00 μB per formula unit
**Density of states at the Fermi level**: 4.45 states/eV/cell
**Polymorph energy (0 for the lowest one)**: 36.3 meV/atom
**E_form (uncorrected)**: -26.53 kcal/mol of atoms
**E**: -4.19 eV/atom
**Density**: 5.95 g/cm3

Cell: 4.857 4.857 9.048 Å, 90.00 90.00 120.00°
Fractional coordinates of all 5 atoms:
Ba  0.000  0.000  0.000
Sr  0.667  0.333  0.509
Pt  0.000  0.000  0.662
Pb  0.333  0.667  0.737
Cl  0.667  0.333  0.179

No. 3
Material: YNbBr
Method: DFT, PBE
State: relaxed

**Magnetic moment**: 0.00 μB per formula unit
**Density of states at the Fermi level**: 3.53 states/eV/cell
**Polymorph energy (0 for the lowest one)**: 326.6 meV/atom
**E_form (uncorrected)**: -7.40 kcal/mol of atoms
**E**: -6.39 eV/atom
**Density**: 5.45 g/cm3

Cell: 5.657 5.657 9.424 Å, 116.76 116.76 36.97°
Fractional coordinates of all 6 atoms:
Y  0.000  0.000  0.000
Y  0.178  0.178  0.571
Nb  0.254  0.254  0.934
Nb  0.560  0.560  0.765
Br  0.504  0.504  0.261
Br  0.874  0.874  0.503

No. 4
Material: NbTcNi
Method: DFT, PBE
State: relaxed

**Magnetic moment**: 0.00 μB per formula unit
**Density of states at the Fermi level**: 7.31 states/eV/cell
**Polymorph energy (0 for the lowest one)**: 44.8 meV/atom
**E**: -8.85 eV/atom
**Density**: 9.47 g/cm3

Cell: 4.896 4.896 4.896 Å, 121.01 103.20 104.86°
Fractional coordinates of all 6 atoms:
Nb  0.153  0.250  0.403
Nb  0.847  0.750  0.597
Tc  0.141  0.555  0.086
Tc  0.469  0.055  0.914
Ni  0.646  0.146  0.500
Ni  0.646  0.646  0.000

No. 5
Material: Mn4MoPt
Method: DFT, PBE
State: relaxed

**Magnetic moment**: 2.08 μB per formula unit
**Density of states at the Fermi level**: 8.52 states/eV/cell
**E**: -9.00 eV/atom
**Density**: 11.41 g/cm3

Cell: 4.720 4.720 4.720 Å, 60.00 60.00 60.00°
Fractional coordinates of all 6 atoms:
Mn  0.377  0.377  0.377
Mn  0.377  0.377  0.869
Mn  0.377  0.869  0.377
Mn  0.869  0.377  0.377
Mo  0.000  0.000  0.000
Pt  0.750  0.750  0.750

No. 6
Material: In2CuAs
Method: DFT, PBE
State: relaxed

**Magnetic moment**: 0.00 μB per formula unit
**Density of states at the Fermi level**: 1.51 states/eV/cell
**E**: -3.37 eV/atom
**Density**: 7.43 g/cm3

Cell: 3.151 3.151 8.283 Å, 90.00 90.00 90.00°
Fractional coordinates of all 4 atoms:
In  0.000  0.000  0.218
In  0.000  0.000  0.782
Cu  0.500  0.500  0.000
As  0.500  0.500  0.500

No. 7
Material: HfAsO3
Method: DFT, PBE
State: relaxed

**Magnetic moment**: 0.72 μB per formula unit
**Density of states at the Fermi level**: 4.60 states/eV/cell
**E_form (uncorrected)**: -17.23 kcal/mol of atoms
**E**: -6.64 eV/atom
**Density**: 7.96 g/cm3

Cell: 3.977 3.977 3.977 Å, 90.00 90.00 90.00°
Fractional coordinates of all 5 atoms:
Hf  0.000  0.000  0.000
As  0.500  0.500  0.500
O  0.000  0.500  0.500
O  0.500  0.000  0.500
O  0.500  0.500  0.000

No. 8
Material: CaDy4Tm
Method: DFT, PBE
State: relaxed

**Magnetic moment**: 0.00 μB per formula unit
**Density of states at the Fermi level**: 8.66 states/eV/cell
**E**: -3.93 eV/atom
**Density**: 6.97 g/cm3

Cell: 6.614 6.614 6.614 Å, 60.00 60.00 60.00°
Fractional coordinates of all 6 atoms:
Ca  0.000  0.000  0.000
Dy  0.377  0.377  0.377
Dy  0.377  0.377  0.870
Dy  0.377  0.870  0.377
Dy  0.870  0.377  0.377
Tm  0.750  0.750  0.750

No. 9
Material: Sm5TmSb6
Method: DFT, PBE
State: relaxed

**Magnetic moment**: 0.00 μB per formula unit
**Density of states at the Fermi level**: 1.90 states/eV/cell
**E_form (uncorrected)**: -26.64 kcal/mol of atoms
**E**: -5.56 eV/atom
**Density**: 7.34 g/cm3

Cell: 7.708 7.708 7.708 Å, 99.61 99.61 120.01°
Fractional coordinates of all 12 atoms:
Sm  0.000  0.000  0.000
Sm  0.166  0.834  0.500
Sm  0.331  0.669  0.000
Sm  0.669  0.331  0.000
Sm  0.834  0.166  0.500
Tm  0.500  0.500  0.500
Sb  0.089  0.418  0.254
Sb  0.255  0.255  0.748
Sb  0.418  0.089  0.254
Sb  0.582  0.911  0.746
Sb  0.745  0.745  0.252
Sb  0.911  0.582  0.746

No. 10
Material: KCd4As
Method: DFT, PBE
State: relaxed

**Magnetic moment**: 0.00 μB per formula unit
**Density of states at the Fermi level**: 4.21 states/eV/cell
**E**: -1.48 eV/atom
**Density**: 6.02 g/cm3

Cell: 6.037 6.037 6.037 Å, 60.00 60.00 60.00°
Fractional coordinates of all 6 atoms:
K  0.000  0.000  0.000
Cd  0.376  0.376  0.376
Cd  0.376  0.376  0.872
Cd  0.376  0.872  0.376
Cd  0.872  0.376  0.376
As  0.750  0.750  0.750

No. 11
Material: Er2PaAl9
Method: DFT, PBE
State: relaxed

**Magnetic moment**: 0.00 μB per formula unit
**Density of states at the Fermi level**: 5.81 states/eV/cell
**E**: -4.73 eV/atom
**Density**: 5.78 g/cm3

Cell: 4.263 4.263 12.788 Å, 90.00 90.00 90.00°
Fractional coordinates of all 12 atoms:
Er  0.000  0.000  0.166
Er  0.000  0.000  0.834
Pa  0.000  0.000  0.500
Al  0.000  0.500  0.000
Al  0.000  0.500  0.332
Al  0.000  0.500  0.668
Al  0.500  0.000  0.000
Al  0.500  0.000  0.332
Al  0.500  0.000  0.668
Al  0.500  0.500  0.165
Al  0.500  0.500  0.500
Al  0.500  0.500  0.835

No. 12
Material: Dy2NiSn
Method: DFT, PBE
State: relaxed

**Magnetic moment**: 0.00 μB per formula unit
**Density of states at the Fermi level**: 1.87 states/eV/cell
**Polymorph energy (0 for the lowest one)**: 0.0 meV/atom
**E**: -5.26 eV/atom
**Density**: 9.10 g/cm3

Cell: 3.470 3.470 7.618 Å, 90.00 90.00 90.00°
Fractional coordinates of all 4 atoms:
Dy  0.000  0.000  0.213
Dy  0.000  0.000  0.787
Ni  0.500  0.500  0.000
Sn  0.500  0.500  0.500

Q: The lowest density of states at the Fermi level belongs to which entry?
A: NaAu2I2